Na4Cd2H | PBE-GGA | relaxed

The structure in POSCAR format:
```
Na4Cd2H
1.0
-2.321 2.321 8.218
2.321 -2.321 8.218
2.321 2.321 -8.218
Na Cd H
4 2 1
direct
0.000 0.500 0.500
0.161 0.161 0.000
0.500 0.000 0.500
0.839 0.839 0.000
0.349 0.349 0.000
0.651 0.651 0.000
0.000 0.000 0.000
```

Properties
Crystal system   tetragonal
Symmetry   I4/mmm (139)
Total moment   0.00 μB/cell
Electronic total energy   -1.481 eV/atom